[1]
Density functional theory data (PBE) for a geometry-optimized Re4PbO9 structure.

Calculated values
Total moment in μB per atom: 0.01
Total energy in eV/atom: -8.09

a = 4.8258 Å, b = 6.3431 Å, c = 6.7481 Å
α = 117.64°, β = 98.25°, γ = 99.89°
Atoms (fractional coordinates):
Re1 0.0000 0.0000 0.0000
Re2 0.1528 0.4571 0.0236
Re3 0.3431 0.5742 0.5686
Re4 0.5588 0.2323 0.1031
Pb1 0.9396 0.9436 0.4657
O1 0.0978 0.7846 0.1224
O2 0.2340 0.4666 0.7652
O3 0.2871 0.9213 0.7916
O4 0.3236 0.2368 0.3382
O5 0.5046 0.5896 0.2782
O6 0.6837 0.9827 0.1541
O7 0.7383 0.7246 0.7178
O8 0.7744 0.2292 0.8627
O9 0.9884 0.5093 0.3240

***

[2]
Density functional theory data (PBE) for a geometry-optimized BaHfCd2 structure.

Calculated values
Total moment in μB per atom: 0.26
Total energy in eV/atom: -2.93

a = 5.3437 Å, b = 5.3437 Å, c = 5.3437 Å
α = 60.00°, β = 60.00°, γ = 60.00°
Atoms (fractional coordinates):
Ba1 0.0000 0.0000 0.0000
Hf1 0.2500 0.2500 0.2500
Cd1 0.5000 0.5000 0.5000
Cd2 0.7500 0.7500 0.7500

***

[3]
Density functional theory data (PBE) for a geometry-optimized Y3Ho3Er2 structure.

Calculated values
Formation energy from the elements in kcal/mol of atoms: 0.06
Total moment in μB per atom: 0.01
Total energy in eV/atom: -5.28

a = 7.2200 Å, b = 7.2200 Å, c = 5.6064 Å
α = 90.00°, β = 90.00°, γ = 120.00°
Atoms (fractional coordinates):
Y1 0.9997 0.4998 0.0000
Y2 0.5002 0.0003 0.0000
Y3 0.5002 0.4998 0.0000
Ho1 0.1661 0.3323 0.5000
Ho2 0.1661 0.8339 0.5000
Ho3 0.6677 0.8339 0.5000
Er1 0.0000 0.0000 0.0000
Er2 0.6667 0.3333 0.5000

***

[4]
Density functional theory data (PBE) for a geometry-optimized NaAu2SeS structure.

Calculated values
Total energy in eV/atom: -3.34

a = 4.2133 Å, b = 4.2133 Å, c = 7.7432 Å
α = 90.00°, β = 90.00°, γ = 120.00°
Atoms (fractional coordinates):
Na1 0.0000 0.0000 0.0000
Au1 0.3333 0.6667 0.6641
Au2 0.6667 0.3333 0.2683
Se1 0.6667 0.3333 0.7435
S1 0.3333 0.6667 0.2588

***

[5]
Density functional theory data (PBE) for a geometry-optimized AcNi3C structure.

Calculated values
Total moment in μB per atom: 0.13
Total energy in eV/atom: -5.92

a = 4.1508 Å, b = 4.1508 Å, c = 4.1508 Å
α = 90.00°, β = 90.00°, γ = 90.00°
Atoms (fractional coordinates):
Ac1 0.0000 0.0000 0.0000
Ni1 0.0000 0.5000 0.5000
Ni2 0.5000 0.0000 0.5000
Ni3 0.5000 0.5000 0.0000
C1 0.5000 0.5000 0.5000

***

[6]
Density functional theory data (PBE) for a geometry-optimized NdTmBi structure.

Calculated values
Total moment in μB per atom: 0.01
Total energy in eV/atom: -4.73

a = 5.2177 Å, b = 5.2177 Å, c = 5.2177 Å
α = 60.00°, β = 60.00°, γ = 60.00°
Atoms (fractional coordinates):
Nd1 0.0000 0.0000 0.0000
Tm1 0.5000 0.5000 0.5000
Bi1 0.2500 0.2500 0.2500

***

[7]
Density functional theory data (PBE) for a geometry-optimized Nd2Co5B2 structure.

Calculated values
Total moment in μB per atom: 0.01
Total energy in eV/atom: -6.78

a = 5.1678 Å, b = 5.1678 Å, c = 20.1485 Å
α = 90.00°, β = 90.00°, γ = 120.00°
Atoms (fractional coordinates):
Nd1 0.3333 0.6667 0.0217
Nd2 0.3333 0.6667 0.1748
Nd3 0.3333 0.6667 0.3252
Nd4 0.3333 0.6667 0.4783
Nd5 0.6667 0.3333 0.5217
Nd6 0.6667 0.3333 0.6748
Nd7 0.6667 0.3333 0.8252
Nd8 0.6667 0.3333 0.9783
Co1 0.0000 0.0000 0.0000
Co2 0.0000 0.0000 0.5000
Co3 0.1613 0.3227 0.6079
Co4 0.1613 0.3227 0.8921
Co5 0.1613 0.8387 0.6079
Co6 0.1613 0.8387 0.8921
Co7 0.1677 0.3354 0.7500
Co8 0.1677 0.8323 0.7500
Co9 0.3227 0.1613 0.1079
Co10 0.3227 0.1613 0.3921
Co11 0.3354 0.1677 0.2500
Co12 0.6646 0.8323 0.7500
Co13 0.6773 0.8387 0.6079
Co14 0.6773 0.8387 0.8921
Co15 0.8323 0.1677 0.2500
Co16 0.8323 0.6646 0.2500
Co17 0.8387 0.1613 0.1079
Co18 0.8387 0.1613 0.3921
Co19 0.8387 0.6773 0.1079
Co20 0.8387 0.6773 0.3921
B1 0.0000 0.0000 0.1783
B2 0.0000 0.0000 0.3217
B3 0.0000 0.0000 0.6783
B4 0.0000 0.0000 0.8217
B5 0.3333 0.6667 0.6748
B6 0.3333 0.6667 0.8252
B7 0.6667 0.3333 0.1748
B8 0.6667 0.3333 0.3252

***

[8]
Density functional theory data (PBE) for a geometry-optimized Dy6AgTe2 structure.

Calculated values
Total moment in μB per atom: 0.00
Total energy in eV/atom: -4.72

a = 8.4895 Å, b = 8.4895 Å, c = 3.9613 Å
α = 90.00°, β = 90.00°, γ = 120.00°
Atoms (fractional coordinates):
Dy1 0.0000 0.4042 0.0000
Dy2 0.0000 0.7448 0.5000
Dy3 0.2552 0.2552 0.5000
Dy4 0.4042 0.0000 0.0000
Dy5 0.5958 0.5958 0.0000
Dy6 0.7448 0.0000 0.5000
Ag1 0.0000 0.0000 0.0000
Te1 0.3333 0.6667 0.5000
Te2 0.6667 0.3333 0.5000